(1)
# Tb4SnPd, relaxed, DFT GGA-PBE
# - raw total energy (eV per atom) = -5.05
# - Fermi-level density of states (states/eV/f.u.) = 6.86
# - energy of formation (eV/atom) = -0.43
data_Tb4SnPd
_chemical_formula_sum 'Tb8 Sn2 Pd2'
_cell_length_a 5.4020
_cell_length_b 6.4353
_cell_length_c 10.5530
_cell_angle_alpha 90.00
_cell_angle_beta 104.83
_cell_angle_gamma 90.00
_space_group_name_H-M_alt 'P 1'
_space_group_IT_number 1
loop_
_space_group_symop_operation_xyz
'x,y,z'
loop_
_atom_site_label
_atom_site_type_symbol
_atom_site_fract_x
_atom_site_fract_y
_atom_site_fract_z
_atom_site_occupancy
Sn1 Sn 0.1528 0.3221 0.3057 1
Sn2 Sn 0.8472 0.8221 0.6943 1
Tb1 Tb 0.4476 0.8226 0.8953 1
Tb2 Tb 0.5524 0.3226 0.1047 1
Tb3 Tb 0.2992 0.0678 0.5984 1
Tb4 Tb 0.1097 0.8221 0.2194 1
Tb5 Tb 0.2994 0.5766 0.5987 1
Tb6 Tb 0.8903 0.3221 0.7806 1
Tb7 Tb 0.7006 0.0766 0.4013 1
Tb8 Tb 0.7008 0.5678 0.4016 1
Pd1 Pd 0.5820 0.8222 0.1640 1
Pd2 Pd 0.4180 0.3222 0.8360 1


(2)
# TbSn2Pd7, relaxed, DFT GGA-PBE
# - raw total energy (eV per atom) = -5.16
# - energy above the most stable polymorph in this dataset (meV per atom) = 333
# - Fermi-level density of states (states/eV/f.u.) = 3.13
# - energy of formation (eV/atom) = -0.26
data_TbSn2Pd7
_chemical_formula_sum 'Tb1 Sn2 Pd7'
_cell_length_a 4.4889
_cell_length_b 7.6417
_cell_length_c 7.6417
_cell_angle_alpha 122.26
_cell_angle_beta 90.00
_cell_angle_gamma 90.00
_space_group_name_H-M_alt 'P 1'
_space_group_IT_number 1
loop_
_space_group_symop_operation_xyz
'x,y,z'
loop_
_atom_site_label
_atom_site_type_symbol
_atom_site_fract_x
_atom_site_fract_y
_atom_site_fract_z
_atom_site_occupancy
Pd1 Pd 0.0000 0.2048 0.7953 1
Pd2 Pd 0.5000 0.7095 0.9267 1
Pd3 Pd 0.5000 0.5000 0.5000 1
Pd4 Pd 0.5000 0.9267 0.7095 1
Pd5 Pd 0.5000 0.0733 0.2905 1
Pd6 Pd 0.5000 0.2905 0.0733 1
Pd7 Pd 0.0000 0.7952 0.2047 1
Sn1 Sn 0.5000 0.6984 0.3016 1
Sn2 Sn 0.5000 0.3016 0.6984 1
Tb1 Tb 0.0000 0.0000 0.0000 1


(3)
# Tb2SnPd8, relaxed, DFT GGA-PBE
# - raw total energy (eV per atom) = -5.63
# - Fermi-level density of states (states/eV/f.u.) = 3.94
# - energy of formation (eV/atom) = -0.65
data_Tb2SnPd8
_chemical_formula_sum 'Tb2 Sn1 Pd8'
_cell_length_a 4.7089
_cell_length_b 5.9967
_cell_length_c 8.1458
_cell_angle_alpha 111.66
_cell_angle_beta 106.80
_cell_angle_gamma 90.00
_space_group_name_H-M_alt 'P 1'
_space_group_IT_number 1
loop_
_space_group_symop_operation_xyz
'x,y,z'
loop_
_atom_site_label
_atom_site_type_symbol
_atom_site_fract_x
_atom_site_fract_y
_atom_site_fract_z
_atom_site_occupancy
Pd1 Pd 0.8200 0.8203 0.6400 1
Pd2 Pd 0.3589 0.1216 0.7177 1
Pd3 Pd 0.6411 0.8784 0.2823 1
Pd4 Pd 0.9999 0.7469 0.9998 1
Pd5 Pd 0.0001 0.2531 0.0002 1
Pd6 Pd 0.6414 0.4039 0.2829 1
Pd7 Pd 0.3586 0.5961 0.7171 1
Pd8 Pd 0.1800 0.1797 0.3600 1
Sn1 Sn 0.5000 0.0000 0.0000 1
Tb1 Tb 0.8122 0.3123 0.6243 1
Tb2 Tb 0.1878 0.6877 0.3757 1


(4)
# TbSn2Pd6, relaxed, DFT GGA-PBE
# - raw total energy (eV per atom) = -5.37
# - energy above the most stable polymorph in this dataset (meV per atom) = 11
# - Fermi-level density of states (states/eV/f.u.) = 4.66
# - energy of formation (eV/atom) = -0.50
data_TbSn2Pd6
_chemical_formula_sum 'Tb1 Sn2 Pd6'
_cell_length_a 3.7785
_cell_length_b 7.4251
_cell_length_c 7.4251
_cell_angle_alpha 125.22
_cell_angle_beta 90.00
_cell_angle_gamma 90.00
_space_group_name_H-M_alt 'P 1'
_space_group_IT_number 1
loop_
_space_group_symop_operation_xyz
'x,y,z'
loop_
_atom_site_label
_atom_site_type_symbol
_atom_site_fract_x
_atom_site_fract_y
_atom_site_fract_z
_atom_site_occupancy
Sn1 Sn 0.0000 0.3100 0.6045 1
Sn2 Sn 0.0000 0.6045 0.3100 1
Pd1 Pd 0.5000 0.9364 0.5725 1
Pd2 Pd 0.0000 0.8072 0.8072 1
Pd3 Pd 0.5000 0.5216 0.5216 1
Pd4 Pd 0.5000 0.5725 0.9364 1
Pd5 Pd 0.0000 0.2323 0.9063 1
Pd6 Pd 0.0000 0.9063 0.2323 1
Tb1 Tb 0.5000 0.1092 0.1092 1


(5)
# Tb2SnPd5, relaxed, DFT GGA-PBE
# - raw total energy (eV per atom) = -5.68
# - Fermi-level density of states (states/eV/f.u.) = 1.99
# - energy of formation (eV/atom) = -0.77
data_Tb2SnPd5
_chemical_formula_sum 'Tb2 Sn1 Pd5'
_cell_length_a 6.2580
_cell_length_b 6.2580
_cell_length_c 5.9232
_cell_angle_alpha 121.89
_cell_angle_beta 121.89
_cell_angle_gamma 90.00
_space_group_name_H-M_alt 'P 1'
_space_group_IT_number 1
loop_
_space_group_symop_operation_xyz
'x,y,z'
loop_
_atom_site_label
_atom_site_type_symbol
_atom_site_fract_x
_atom_site_fract_y
_atom_site_fract_z
_atom_site_occupancy
Tb1 Tb 0.7403 0.2403 0.4806 1
Tb2 Tb 0.2403 0.7403 0.4806 1
Pd1 Pd 0.7518 0.7518 0.5036 1
Pd2 Pd 0.7027 0.2570 0.9596 1
Pd3 Pd 0.7027 0.7027 0.9596 1
Pd4 Pd 0.2570 0.7026 0.9596 1
Pd5 Pd 0.2570 0.2570 0.9596 1
Sn1 Sn 0.1254 0.1254 0.2507 1


(6)
# Tb6SnPd2, relaxed, DFT GGA-PBE
# - raw total energy (eV per atom) = -5.27
# - Fermi-level density of states (states/eV/f.u.) = 8.15
# - energy of formation (eV/atom) = -0.59
data_Tb6SnPd2
_chemical_formula_sum 'Tb12 Sn2 Pd4'
_cell_length_a 8.6210
_cell_length_b 8.6210
_cell_length_c 8.6210
_cell_angle_alpha 104.80
_cell_angle_beta 110.31
_cell_angle_gamma 113.42
_space_group_name_H-M_alt 'P 1'
_space_group_IT_number 1
loop_
_space_group_symop_operation_xyz
'x,y,z'
loop_
_atom_site_label
_atom_site_type_symbol
_atom_site_fract_x
_atom_site_fract_y
_atom_site_fract_z
_atom_site_occupancy
Tb1 Tb 0.3022 0.9753 0.6731 1
Tb2 Tb 0.8929 0.7103 0.1827 1
Tb3 Tb 0.1071 0.2897 0.8173 1
Tb4 Tb 0.1993 0.7641 0.9634 1
Tb5 Tb 0.6978 0.3709 0.6731 1
Tb6 Tb 0.8007 0.7641 0.5648 1
Tb7 Tb 0.6978 0.0247 0.3269 1
Tb8 Tb 0.5276 0.7103 0.8173 1
Tb9 Tb 0.3022 0.6291 0.3269 1
Tb10 Tb 0.1993 0.2359 0.4352 1
Tb11 Tb 0.4724 0.2897 0.1827 1
Tb12 Tb 0.8007 0.2359 0.0366 1
Sn1 Sn 0.0000 0.5000 0.5000 1
Sn2 Sn 0.0000 0.0000 0.0000 1
Pd1 Pd 0.6550 0.0000 0.6550 1
Pd2 Pd 0.5000 0.6318 0.1318 1
Pd3 Pd 0.5000 0.3682 0.8682 1
Pd4 Pd 0.3450 0.0000 0.3450 1